1.
A plane-wave DFT calculation with meta-GGA SCAN was carried out for a PBEsol-optimized structure of SiP2Cl.

a = 3.056 Å, b = 3.056 Å, c = 7.416 Å
α = 90.00°, β = 90.00°, γ = 90.00°
Positions (direct):
P1 0.000 0.000 0.092
P2 0.500 0.500 0.230
Si1 0.000 0.000 0.477
Cl1 0.500 0.500 0.700

Computed properties:
DFT total energy, eV per atom: -9.314
Volume, Å³/atom: 17.3
ΔE_f (raw), eV per atom: 0.384


2.
A plane-wave DFT calculation with meta-GGA SCAN was carried out for a PBEsol-optimized structure of SiPCl2.

a = 4.503 Å, b = 7.118 Å, c = 7.118 Å
α = 84.26°, β = 71.56°, γ = 71.56°
Positions (direct):
Cl1 0.364 0.761 0.261
Cl2 0.386 0.239 0.739
Cl3 0.875 0.739 0.761
Cl4 0.375 0.261 0.239
P1 0.750 0.500 0.500
P2 0.000 0.000 0.000
Si1 0.250 0.500 0.500
Si2 0.500 0.000 0.000

Computed properties:
Energy relative to the lowest polymorph listed for this composition, meV/atom: 0
DFT total energy, eV per atom: -8.813
Volume, Å³/atom: 25.7
ΔE_f (raw), eV per atom: 0.279


3.
A plane-wave DFT calculation with meta-GGA SCAN was carried out for a PBEsol-optimized structure of SiPCl2.

a = 2.974 Å, b = 3.985 Å, c = 5.867 Å
α = 90.00°, β = 90.00°, γ = 90.00°
Positions (direct):
P1 0.500 0.500 0.000
Si1 0.500 0.500 0.500
Cl1 0.000 0.000 0.748
Cl2 0.000 0.000 0.252

Computed properties:
Energy relative to the lowest polymorph listed for this composition, meV/atom: 541
DFT total energy, eV per atom: -8.272
Volume, Å³/atom: 17.4
ΔE_f (raw), eV per atom: 0.821


4.
A plane-wave DFT calculation with meta-GGA SCAN was carried out for a PBEsol-optimized structure of SiP4Cl.

a = 5.367 Å, b = 5.367 Å, c = 5.367 Å
α = 60.00°, β = 60.00°, γ = 60.00°
Positions (direct):
P1 0.354 0.354 0.354
P2 0.354 0.937 0.354
P3 0.937 0.354 0.354
P4 0.354 0.354 0.937
Cl1 0.000 0.000 0.000
Si1 0.750 0.750 0.750

Computed properties:
DFT total energy, eV per atom: -9.330
Volume, Å³/atom: 18.2
ΔE_f (raw), eV per atom: 0.602